#P
A relaxed structure of TaNbNi. Source: the Alexandria database, functional PBE.

Lattice parameters (Å, degrees): 2.7604 5.1502 6.9607 94.08 101.34 99.11
Positions (direct):
Ta: 0.0000 0.0000 0.0000
Ta: 0.4858 0.7773 0.3576
Nb: 0.9702 0.5595 0.7187
Nb: 0.9844 0.2777 0.3623
Ni: 0.4118 0.0606 0.6734
Ni: 0.5595 0.4907 0.0476

Computed properties:
- volume (A^3/atom) = 15.878

=====

#Q
A relaxed structure of TaNbNi. Source: the Alexandria database, functional PBE.

Lattice parameters (Å, degrees): 6.2542 5.0842 5.0082 76.58 52.25 51.16
Positions (direct):
Ta: 0.1588 0.1588 0.8412
Ta: 0.8412 0.8412 0.1588
Nb: 0.3429 0.6571 0.3429
Nb: 0.6571 0.3429 0.6571
Ni: 0.2500 0.2500 0.2500
Ni: 0.7500 0.7500 0.7500

Computed properties:
- volume (A^3/atom) = 15.843

=====

#R
A relaxed structure of TaNbNi. Source: the Alexandria database, functional PBE.

Lattice parameters (Å, degrees): 9.7765 9.1697 4.9458 81.78 68.17 30.05
Positions (direct):
Ta: 0.0478 0.7022 0.0478
Ta: 0.2978 0.9522 0.2978
Ta: 0.7022 0.0478 0.7022
Ta: 0.9522 0.2978 0.9522
Nb: 0.2965 0.2965 0.4535
Nb: 0.4535 0.4535 0.2965
Nb: 0.5465 0.5465 0.7035
Nb: 0.7035 0.7035 0.5465
Ni: 0.0016 0.0016 0.2484
Ni: 0.2484 0.2484 0.0016
Ni: 0.7516 0.7516 0.9984
Ni: 0.9984 0.9984 0.7516

Computed properties:
- volume (A^3/atom) = 15.850

=====

#S
A relaxed structure of TaNbNi. Source: the Alexandria database, functional PBE.

Lattice parameters (Å, degrees): 2.8452 5.6306 6.3382 101.64 95.30 104.12
Positions (direct):
Ta: 0.0000 0.0000 0.0000
Ta: 0.1822 0.0774 0.5730
Nb: 0.2578 0.6139 0.6643
Nb: 0.4443 0.6862 0.2405
Ni: 0.7047 0.2849 0.3088
Ni: 0.7346 0.3893 0.9256

Computed properties:
- volume (A^3/atom) = 15.895

=====

Ordering by calculated energy gives the sequence #Q, #R, #S, #P, with the first entry being the most stable.

=====

#P
A relaxed structure of TaNbNi. Source: the Alexandria database, functional PBE.

Lattice parameters (Å, degrees): 5.0443 5.0443 5.0443 122.38 103.45 103.41
Positions (direct):
Ta: 0.1591 0.2500 0.4091
Ta: 0.8409 0.7500 0.5909
Nb: 0.1595 0.5662 0.0932
Nb: 0.4730 0.0662 0.9068
Ni: 0.6592 0.1592 0.5000
Ni: 0.6592 0.6592 0.0000

Computed properties:
- volume (A^3/atom) = 15.830

=====

#Q
A relaxed structure of TaNbNi. Source: the Alexandria database, functional PBE.

Lattice parameters (Å, degrees): 2.7626 5.1713 6.9282 82.71 78.79 81.37
Positions (direct):
Ta: 0.0000 0.0000 0.0000
Ta: 0.5000 0.5000 0.0000
Nb: 0.1199 0.2189 0.3605
Nb: 0.8801 0.7811 0.6395
Ni: 0.3812 0.2862 0.6921
Ni: 0.6188 0.7138 0.3079

Computed properties:
- volume (A^3/atom) = 15.917

=====

#R
A relaxed structure of TaNbNi. Source: the Alexandria database, functional PBE.

Lattice parameters (Å, degrees): 4.5696 4.5696 2.6827 90.00 90.00 120.00
Positions (direct):
Ta: 0.0000 0.0000 0.0000
Nb: 0.6667 0.3333 0.5264
Ni: 0.3333 0.6667 0.4388

Computed properties:
- volume (A^3/atom) = 16.171

=====

#S
A relaxed structure of TaNbNi. Source: the Alexandria database, functional PBE.

Lattice parameters (Å, degrees): 6.4216 6.4216 6.4216 154.97 154.97 35.70
Positions (direct):
Ta: 0.0000 0.0000 0.0000
Nb: 0.3072 0.3072 0.0000
Ni: 0.6507 0.6507 0.0000

Computed properties:
- volume (A^3/atom) = 15.787

=====

Ordering by calculated energy gives the sequence #P, #S, #Q, #R, with the first entry being the most stable.

=====

#P
A relaxed structure of TaNbNi4. Source: the Alexandria database, functional PBE.

Lattice parameters (Å, degrees): 5.0941 5.0941 6.5101 100.16 100.16 76.68
Positions (direct):
Ta: 0.1372 0.1372 0.3542
Ta: 0.8628 0.8628 0.6458
Nb: 0.4454 0.4454 0.6925
Nb: 0.5546 0.5546 0.3075
Ni: 0.0391 0.6376 0.2899
Ni: 0.2091 0.7909 0.0000
Ni: 0.2742 0.2742 0.0247
Ni: 0.3624 0.9609 0.7101
Ni: 0.6376 0.0391 0.2899
Ni: 0.7258 0.7258 0.9753
Ni: 0.7909 0.2091 0.0000
Ni: 0.9609 0.3624 0.7101

Computed properties:
- volume (A^3/atom) = 13.349

=====

#Q
A relaxed structure of TaNbNi4. Source: the Alexandria database, functional PBE.

Lattice parameters (Å, degrees): 4.7332 4.7332 5.2736 119.73 119.73 54.02
Positions (direct):
Ta: 0.0000 0.0000 0.0000
Nb: 0.0000 0.0000 0.5000
Ni: 0.3351 0.3351 0.5256
Ni: 0.3363 0.3363 0.0270
Ni: 0.6637 0.6637 0.9730
Ni: 0.6649 0.6649 0.4744

Computed properties:
- volume (A^3/atom) = 13.238

=====

#R
A relaxed structure of TaNbNi4. Source: the Alexandria database, functional PBE.

Lattice parameters (Å, degrees): 4.7995 4.7995 4.7995 60.00 60.00 60.00
Positions (direct):
Ta: 0.0000 0.0000 0.0000
Nb: 0.2500 0.2500 0.2500
Ni: 0.1252 0.6249 0.6249
Ni: 0.6249 0.1252 0.6249
Ni: 0.6249 0.6249 0.1252
Ni: 0.6249 0.6249 0.6249

Computed properties:
- volume (A^3/atom) = 13.029

=====

Ordering by calculated energy gives the sequence #R, #Q, #P, with the first entry being the most stable.

=====

#P
A relaxed structure of TaNbNi2. Source: the Alexandria database, functional PBE.

Lattice parameters (Å, degrees): 4.3598 4.3598 4.3598 60.00 60.00 60.00
Positions (direct):
Ta: 0.0000 0.0000 0.0000
Nb: 0.5000 0.5000 0.5000
Ni: 0.2500 0.2500 0.2500
Ni: 0.7500 0.7500 0.7500

Computed properties:
- volume (A^3/atom) = 14.649

=====

#Q
A relaxed structure of TaNbNi2. Source: the Alexandria database, functional PBE.

Lattice parameters (Å, degrees): 3.8905 3.8905 3.8105 90.00 90.00 90.00
Positions (direct):
Ta: 0.0000 0.0000 0.0000
Nb: 0.5000 0.5000 0.0000
Ni: 0.0000 0.5000 0.5000
Ni: 0.5000 0.0000 0.5000

Computed properties:
- volume (A^3/atom) = 14.419

=====

Ordering by calculated energy gives the sequence #Q, #P, with the first entry being the most stable.

=====

#P
A relaxed structure of TaNbNi2. Source: the Alexandria database, functional PBE.

Lattice parameters (Å, degrees): 5.5080 5.5080 5.5080 103.20 103.20 122.90
Positions (direct):
Ta: 0.0000 0.0000 0.0000
Ta: 0.7500 0.2500 0.5000
Nb: 0.2500 0.7500 0.5000
Nb: 0.5000 0.5000 0.0000
Ni: 0.1209 0.1250 0.4959
Ni: 0.3750 0.8791 0.0041
Ni: 0.6291 0.6250 0.5041
Ni: 0.8750 0.3709 0.9959

Computed properties:
- volume (A^3/atom) = 15.405

=====

#Q
A relaxed structure of TaNbNi2. Source: the Alexandria database, functional PBE.

Lattice parameters (Å, degrees): 6.4974 6.4974 6.5290 90.00 90.00 154.69
Positions (direct):
Ta: 0.2490 0.7510 0.7500
Ta: 0.7510 0.2490 0.2500
Nb: 0.4607 0.5393 0.2500
Nb: 0.5393 0.4607 0.7500
Ni: 0.1078 0.8922 0.0578
Ni: 0.1078 0.8922 0.4422
Ni: 0.8922 0.1078 0.5578
Ni: 0.8922 0.1078 0.9422

Computed properties:
- volume (A^3/atom) = 14.729

=====

Ordering by calculated energy gives the sequence #Q, #P, with the first entry being the most stable.

=====

#P
A relaxed structure of TaNbNi3. Source: the Alexandria database, functional PBE.

Lattice parameters (Å, degrees): 4.4258 4.4258 4.4258 90.00 90.00 90.00
Positions (direct):
Ta: 0.0000 0.0000 0.0000
Nb: 0.5000 0.5000 0.5000
Ni: 0.0000 0.0000 0.5000
Ni: 0.0000 0.5000 0.0000
Ni: 0.5000 0.0000 0.0000

Computed properties:
- volume (A^3/atom) = 17.339

=====

#Q
A relaxed structure of TaNbNi3. Source: the Alexandria database, functional PBE.

Lattice parameters (Å, degrees): 6.7681 6.7681 4.6165 90.00 90.00 137.78
Positions (direct):
Ta: 0.1976 0.8024 0.7500
Ta: 0.8024 0.1976 0.2500
Nb: 0.4281 0.5719 0.2500
Nb: 0.5719 0.4281 0.7500
Ni: 0.0000 0.0000 0.0000
Ni: 0.0000 0.0000 0.5000
Ni: 0.1163 0.3856 0.7500
Ni: 0.3856 0.1163 0.2500
Ni: 0.6144 0.8837 0.7500
Ni: 0.8837 0.6144 0.2500

Computed properties:
- volume (A^3/atom) = 14.210

=====

Ordering by calculated energy gives the sequence #Q, #P, with the first entry being the most stable.

=====

#P
A relaxed structure of TaNb2Ni2. Source: the Alexandria database, functional PBE.

Lattice parameters (Å, degrees): 7.1060 7.1060 3.0621 90.00 90.00 90.00
Positions (direct):
Ta: 0.0000 0.0000 0.0000
Ta: 0.5000 0.5000 0.0000
Nb: 0.1764 0.3236 0.5000
Nb: 0.3236 0.8236 0.5000
Nb: 0.6764 0.1764 0.5000
Nb: 0.8236 0.6764 0.5000
Ni: 0.1206 0.6206 0.0000
Ni: 0.3794 0.1206 0.0000
Ni: 0.6206 0.8794 0.0000
Ni: 0.8794 0.3794 0.0000

Computed properties:
- volume (A^3/atom) = 15.462

=====

#Q
A relaxed structure of TaNb2Ni2. Source: the Alexandria database, functional PBE.

Lattice parameters (Å, degrees): 7.5023 7.5023 2.8004 90.00 90.00 90.00
Positions (direct):
Ta: 0.0000 0.0000 0.0000
Ta: 0.5000 0.5000 0.0000
Nb: 0.1657 0.3343 0.0000
Nb: 0.3343 0.8343 0.0000
Nb: 0.6657 0.1657 0.0000
Nb: 0.8343 0.6657 0.0000
Ni: 0.1273 0.6273 0.5000
Ni: 0.3727 0.1273 0.5000
Ni: 0.6273 0.8727 0.5000
Ni: 0.8727 0.3727 0.5000

Computed properties:
- volume (A^3/atom) = 15.762

=====

Ordering by calculated energy gives the sequence #P, #Q, with the first entry being the most stable.

=====

#P
A relaxed structure of NbTc2Ni2. Source: the Alexandria database, functional PBE.

Lattice parameters (Å, degrees): 7.2934 7.2934 2.6537 90.00 90.00 90.00
Positions (direct):
Nb: 0.0000 0.0000 0.0000
Nb: 0.5000 0.5000 0.0000
Tc: 0.1220 0.3780 0.0000
Tc: 0.3780 0.8780 0.0000
Tc: 0.6220 0.1220 0.0000
Tc: 0.8780 0.6220 0.0000
Ni: 0.1734 0.6734 0.5000
Ni: 0.3266 0.1734 0.5000
Ni: 0.6734 0.8266 0.5000
Ni: 0.8266 0.3266 0.5000

Computed properties:
- volume (A^3/atom) = 14.116

=====

#Q
A relaxed structure of NbTc2Ni2. Source: the Alexandria database, functional PBE.

Lattice parameters (Å, degrees): 6.6643 6.6643 3.1398 90.00 90.00 90.00
Positions (direct):
Nb: 0.0000 0.0000 0.0000
Nb: 0.5000 0.5000 0.0000
Tc: 0.1691 0.3309 0.5000
Tc: 0.3309 0.8309 0.5000
Tc: 0.6691 0.1691 0.5000
Tc: 0.8309 0.6691 0.5000
Ni: 0.1248 0.6248 0.0000
Ni: 0.3752 0.1248 0.0000
Ni: 0.6248 0.8752 0.0000
Ni: 0.8752 0.3752 0.0000

Computed properties:
- volume (A^3/atom) = 13.945

=====

Ordering by calculated energy gives the sequence #Q, #P, with the first entry being the most stable.

=====

#P
A relaxed structure of NbTcNi2. Source: the Alexandria database, functional PBE.

Lattice parameters (Å, degrees): 9.3046 9.3046 9.3046 157.44 157.44 32.12
Positions (direct):
Nb: 0.0000 0.0000 0.0000
Nb: 0.7500 0.2500 0.5000
Tc: 0.2500 0.7500 0.5000
Tc: 0.5000 0.5000 0.0000
Ni: 0.1364 0.6250 0.0114
Ni: 0.3750 0.3864 0.5114
Ni: 0.6136 0.1250 0.9886
Ni: 0.8750 0.8636 0.4886

Computed properties:
- volume (A^3/atom) = 14.811

=====

#Q
A relaxed structure of NbTcNi2. Source: the Alexandria database, functional PBE.

Lattice parameters (Å, degrees): 3.7756 3.7756 3.7907 90.00 90.00 90.00
Positions (direct):
Nb: 0.0000 0.0000 0.0000
Tc: 0.5000 0.5000 0.0000
Ni: 0.0000 0.5000 0.5000
Ni: 0.5000 0.0000 0.5000

Computed properties:
- volume (A^3/atom) = 13.509

=====

Ordering by calculated energy gives the sequence #Q, #P, with the first entry being the most stable.